Arrangement i

A plane-wave DFT calculation with GGA-PBE was carried out for a relaxed CaSnAu6 crystal.

The structure in CIF format:
```
data_CaSnAu6
_chemical_formula_sum 'Ca1 Sn1 Au6'
_cell_length_a 5.462
_cell_length_b 5.462
_cell_length_c 5.462
_cell_angle_alpha 90.00
_cell_angle_beta 90.00
_cell_angle_gamma 90.00
_space_group_name_H-M_alt 'P 1'
_space_group_IT_number 1
_space_group_name_Hall 'P 1'
loop_
_atom_site_label
_atom_site_type_symbol
_atom_site_fract_x
_atom_site_fract_y
_atom_site_fract_z
Ca1 Ca 0.000 0.000 0.000
Sn1 Sn 0.500 0.500 0.500
Au1 Au 0.000 0.250 0.500
Au2 Au 0.000 0.750 0.500
Au3 Au 0.250 0.500 0.000
Au4 Au 0.500 0.000 0.250
Au5 Au 0.500 0.000 0.750
Au6 Au 0.750 0.500 0.000
```

Output
theoretical density: 13.66 g cm⁻³
density of states at the Fermi level: 0.22 states/eV/atom
magnetization: 0.000 μB per atom

Arrangement ii

A plane-wave DFT calculation with GGA-PBE was carried out for a relaxed CaSnAu6 crystal.

The structure in CIF format:
```
data_CaSnAu6
_chemical_formula_sum 'Ca1 Sn1 Au6'
_cell_length_a 5.485
_cell_length_b 5.577
_cell_length_c 5.662
_cell_angle_alpha 79.67
_cell_angle_beta 76.72
_cell_angle_gamma 89.43
_space_group_name_H-M_alt 'P 1'
_space_group_IT_number 1
_space_group_name_Hall 'P 1'
loop_
_atom_site_label
_atom_site_type_symbol
_atom_site_fract_x
_atom_site_fract_y
_atom_site_fract_z
Ca1 Ca 0.000 0.000 0.000
Sn1 Sn 0.500 0.500 0.500
Au1 Au 0.029 0.448 0.251
Au2 Au 0.261 0.977 0.452
Au3 Au 0.492 0.745 0.011
Au4 Au 0.508 0.255 0.989
Au5 Au 0.739 0.023 0.548
Au6 Au 0.971 0.552 0.749
```

Output
theoretical density: 13.43 g cm⁻³
density of states at the Fermi level: 0.23 states/eV/atom
magnetization: 0.000 μB per atom

Of them, the most stable is arrangement ii and the least stable is arrangement i.

Arrangement i

A plane-wave DFT calculation with GGA-PBE was carried out for a relaxed Ca3SnAu crystal.

The structure in CIF format:
```
data_Ca3SnAu
_chemical_formula_sum 'Ca3 Sn1 Au1'
_cell_length_a 5.584
_cell_length_b 5.584
_cell_length_c 5.584
_cell_angle_alpha 90.00
_cell_angle_beta 90.00
_cell_angle_gamma 90.00
_space_group_name_H-M_alt 'P 1'
_space_group_IT_number 1
_space_group_name_Hall 'P 1'
loop_
_atom_site_label
_atom_site_type_symbol
_atom_site_fract_x
_atom_site_fract_y
_atom_site_fract_z
Ca1 Ca 0.000 0.000 0.500
Ca2 Ca 0.000 0.500 0.000
Ca3 Ca 0.500 0.000 0.000
Sn1 Sn 0.500 0.500 0.500
Au1 Au 0.000 0.000 0.000
```

Output
theoretical density: 4.16 g cm⁻³
density of states at the Fermi level: 0.68 states/eV/atom
magnetization: 0.000 μB per atom

Arrangement ii

A plane-wave DFT calculation with GGA-PBE was carried out for a relaxed Ca3SnAu crystal.

The structure in CIF format:
```
data_Ca3SnAu
_chemical_formula_sum 'Ca12 Sn4 Au4'
_cell_length_a 8.405
_cell_length_b 8.405
_cell_length_c 8.788
_cell_angle_alpha 90.00
_cell_angle_beta 90.00
_cell_angle_gamma 83.64
_space_group_name_H-M_alt 'P 1'
_space_group_IT_number 1
_space_group_name_Hall 'P 1'
loop_
_atom_site_label
_atom_site_type_symbol
_atom_site_fract_x
_atom_site_fract_y
_atom_site_fract_z
Ca1 Ca 0.011 0.808 0.912
Ca2 Ca 0.074 0.426 0.683
Ca3 Ca 0.192 0.989 0.588
Ca4 Ca 0.307 0.506 0.089
Ca5 Ca 0.426 0.074 0.183
Ca6 Ca 0.494 0.693 0.411
Ca7 Ca 0.506 0.307 0.589
Ca8 Ca 0.574 0.926 0.817
Ca9 Ca 0.693 0.494 0.911
Ca10 Ca 0.808 0.011 0.412
Ca11 Ca 0.926 0.574 0.317
Ca12 Ca 0.989 0.192 0.088
Sn1 Sn 0.148 0.852 0.250
Sn2 Sn 0.353 0.647 0.750
Sn3 Sn 0.647 0.353 0.250
Sn4 Sn 0.852 0.148 0.750
Au1 Au 0.193 0.298 0.369
Au2 Au 0.298 0.193 0.869
Au3 Au 0.702 0.807 0.131
Au4 Au 0.807 0.702 0.631
```

Output
theoretical density: 4.69 g cm⁻³
density of states at the Fermi level: 0.41 states/eV/atom
magnetization: 0.000 μB per atom

Of them, the most stable is arrangement ii and the least stable is arrangement i.

Arrangement i

A plane-wave DFT calculation with GGA-PBE was carried out for a relaxed SrCa2Au crystal.

The structure in CIF format:
```
data_SrCa2Au
_chemical_formula_sum 'Sr1 Ca2 Au1'
_cell_length_a 6.661
_cell_length_b 6.661
_cell_length_c 6.661
_cell_angle_alpha 137.33
_cell_angle_beta 137.33
_cell_angle_gamma 61.94
_space_group_name_H-M_alt 'P 1'
_space_group_IT_number 1
_space_group_name_Hall 'P 1'
loop_
_atom_site_label
_atom_site_type_symbol
_atom_site_fract_x
_atom_site_fract_y
_atom_site_fract_z
Sr1 Sr 0.000 0.000 0.000
Ca1 Ca 0.250 0.750 0.500
Ca2 Ca 0.750 0.250 0.500
Au1 Au 0.500 0.500 0.000
```

Output
theoretical density: 4.51 g cm⁻³
density of states at the Fermi level: 0.93 states/eV/atom
magnetization: 0.000 μB per atom

Arrangement ii

A plane-wave DFT calculation with GGA-PBE was carried out for a relaxed SrCa2Au crystal.

The structure in CIF format:
```
data_SrCa2Au
_chemical_formula_sum 'Sr2 Ca4 Au2'
_cell_length_a 4.455
_cell_length_b 9.664
_cell_length_c 6.915
_cell_angle_alpha 90.00
_cell_angle_beta 108.60
_cell_angle_gamma 90.00
_space_group_name_H-M_alt 'P 1'
_space_group_IT_number 1
_space_group_name_Hall 'P 1'
loop_
_atom_site_label
_atom_site_type_symbol
_atom_site_fract_x
_atom_site_fract_y
_atom_site_fract_z
Sr1 Sr 0.066 0.250 0.133
Sr2 Sr 0.934 0.750 0.867
Ca1 Ca 0.348 0.062 0.697
Ca2 Ca 0.348 0.438 0.697
Ca3 Ca 0.652 0.562 0.303
Ca4 Ca 0.652 0.938 0.303
Au1 Au 0.246 0.750 0.493
Au2 Au 0.754 0.250 0.507
```

Output
theoretical density: 4.29 g cm⁻³
density of states at the Fermi level: 0.84 states/eV/atom
magnetization: 0.000 μB per atom

Of them, the most stable is arrangement ii and the least stable is arrangement i.

Arrangement i

A plane-wave DFT calculation with GGA-PBE was carried out for a relaxed SrCa2Au crystal.

The structure in CIF format:
```
data_SrCa2Au
_chemical_formula_sum 'Sr1 Ca2 Au1'
_cell_length_a 3.795
_cell_length_b 3.795
_cell_length_c 9.692
_cell_angle_alpha 90.00
_cell_angle_beta 90.00
_cell_angle_gamma 90.00
_space_group_name_H-M_alt 'P 1'
_space_group_IT_number 1
_space_group_name_Hall 'P 1'
loop_
_atom_site_label
_atom_site_type_symbol
_atom_site_fract_x
_atom_site_fract_y
_atom_site_fract_z
Sr1 Sr 0.000 0.000 0.000
Ca1 Ca 0.500 0.500 0.325
Ca2 Ca 0.500 0.500 0.675
Au1 Au 0.000 0.000 0.500
```

Output
theoretical density: 4.34 g cm⁻³
density of states at the Fermi level: 0.99 states/eV/atom
magnetization: 0.000 μB per atom

Arrangement ii

A plane-wave DFT calculation with GGA-PBE was carried out for a relaxed SrCa2Au crystal.

The structure in CIF format:
```
data_SrCa2Au
_chemical_formula_sum 'Sr1 Ca2 Au1'
_cell_length_a 6.811
_cell_length_b 6.811
_cell_length_c 4.228
_cell_angle_alpha 90.00
_cell_angle_beta 90.00
_cell_angle_gamma 124.45
_space_group_name_H-M_alt 'P 1'
_space_group_IT_number 1
_space_group_name_Hall 'P 1'
loop_
_atom_site_label
_atom_site_type_symbol
_atom_site_fract_x
_atom_site_fract_y
_atom_site_fract_z
Sr1 Sr 0.000 0.000 0.000
Ca1 Ca 0.333 0.667 0.500
Ca2 Ca 0.667 0.333 0.500
Au1 Au 0.500 0.500 0.000
```

Output
theoretical density: 3.74 g cm⁻³
density of states at the Fermi level: 0.86 states/eV/atom
magnetization: 0.000 μB per atom

Arrangement iii

A plane-wave DFT calculation with GGA-PBE was carried out for a relaxed SrCa2Au crystal.

The structure in CIF format:
```
data_SrCa2Au
_chemical_formula_sum 'Sr1 Ca2 Au1'
_cell_length_a 10.424
_cell_length_b 10.424
_cell_length_c 10.424
_cell_angle_alpha 23.63
_cell_angle_beta 23.63
_cell_angle_gamma 23.63
_space_group_name_H-M_alt 'P 1'
_space_group_IT_number 1
_space_group_name_Hall 'P 1'
loop_
_atom_site_label
_atom_site_type_symbol
_atom_site_fract_x
_atom_site_fract_y
_atom_site_fract_z
Sr1 Sr 0.000 0.000 0.000
Ca1 Ca 0.221 0.221 0.221
Ca2 Ca 0.779 0.779 0.779
Au1 Au 0.500 0.500 0.500
```

Output
theoretical density: 3.79 g cm⁻³
density of states at the Fermi level: 0.99 states/eV/atom
magnetization: 0.000 μB per atom

Of them, the most stable is arrangement i and the least stable is arrangement ii.